A plane-wave DFT calculation with PBEsol was carried out for a geometry-optimized ZrSiSb2 structure.

Cell and atoms, written as CIF:
```
data_ZrSiSb2
_chemical_formula_sum 'Zr1 Si1 Sb2'
_symmetry_space_group_name_H-M 'P 4/m m m'
_symmetry_Int_Tables_number 123
_symmetry_space_group_name_Hall '-P 4 2'
_cell_length_a 3.817
_cell_length_b 3.817
_cell_length_c 5.866
_cell_angle_alpha 90.00
_cell_angle_beta 90.00
_cell_angle_gamma 90.00
loop_
_atom_site_label
_atom_site_type_symbol
_atom_site_fract_x
_atom_site_fract_y
_atom_site_fract_z
Zr1 Zr 0.000 0.000 0.000
Si1 Si 0.000 0.000 0.500
Sb1 Sb 0.500 0.500 0.251
```

Values from the calculation:
calculated total energy = -6.16 eV per atom
formation energy without anion corrections = -170 meV/atom

A plane-wave DFT calculation with PBEsol was carried out for a geometry-optimized ZrSiSb2 structure.

Cell and atoms, written as CIF:
```
data_ZrSiSb2
_chemical_formula_sum 'Zr1 Si1 Sb2'
_symmetry_space_group_name_H-M 'P 1 m 1'
_symmetry_Int_Tables_number 6
_cell_length_a 4.091
_cell_length_b 3.949
_cell_length_c 5.737
_cell_angle_alpha 90.00
_cell_angle_beta 110.65
_cell_angle_gamma 90.00
loop_
_symmetry_equiv_pos_as_xyz
'x,y,z'
'x,-y,z'
loop_
_atom_site_label
_atom_site_type_symbol
_atom_site_fract_x
_atom_site_fract_y
_atom_site_fract_z
Zr1 Zr 0.000 0.000 0.000
Si1 Si 0.899 0.500 0.648
Sb1 Sb 0.310 0.000 0.577
Sb2 Sb 0.582 0.500 0.168
```

Values from the calculation:
calculated total energy = -6.46 eV per atom
formation energy without anion corrections = -469 meV/atom

A plane-wave DFT calculation with PBEsol was carried out for a geometry-optimized ZrSiSb2 structure.

Cell and atoms, written as CIF:
```
data_ZrSiSb2
_chemical_formula_sum 'Zr1 Si1 Sb2'
_symmetry_space_group_name_H-M 'P 1 2/m 1'
_symmetry_Int_Tables_number 10
_cell_length_a 3.748
_cell_length_b 3.766
_cell_length_c 6.111
_cell_angle_alpha 90.00
_cell_angle_beta 99.72
_cell_angle_gamma 90.00
loop_
_symmetry_equiv_pos_as_xyz
'x,y,z'
'-x,-y,-z'
'-x,y,-z'
'x,-y,z'
loop_
_atom_site_label
_atom_site_type_symbol
_atom_site_fract_x
_atom_site_fract_y
_atom_site_fract_z
Zr1 Zr 0.000 0.000 0.000
Si1 Si 0.000 0.000 0.500
Sb1 Sb 0.444 0.500 0.749
```

Values from the calculation:
calculated total energy = -6.18 eV per atom
formation energy without anion corrections = -188 meV/atom

A plane-wave DFT calculation with PBEsol was carried out for a geometry-optimized ZrSi2Sb structure.

Cell and atoms, written as CIF:
```
data_ZrSi2Sb
_chemical_formula_sum 'Zr1 Si2 Sb1'
_symmetry_space_group_name_H-M 'P 1 2/m 1'
_symmetry_Int_Tables_number 10
_cell_length_a 3.628
_cell_length_b 3.645
_cell_length_c 5.801
_cell_angle_alpha 90.00
_cell_angle_beta 99.86
_cell_angle_gamma 90.00
loop_
_symmetry_equiv_pos_as_xyz
'x,y,z'
'-x,-y,-z'
'-x,y,-z'
'x,-y,z'
loop_
_atom_site_label
_atom_site_type_symbol
_atom_site_fract_x
_atom_site_fract_y
_atom_site_fract_z
Zr1 Zr 0.000 0.000 0.000
Si1 Si 0.464 0.500 0.788
Sb1 Sb 0.000 0.000 0.500
```

Values from the calculation:
calculated total energy = -6.51 eV per atom
formation energy without anion corrections = -228 meV/atom

A plane-wave DFT calculation with PBEsol was carried out for a geometry-optimized ZrSi2Sb structure.

Cell and atoms, written as CIF:
```
data_ZrSi2Sb
_chemical_formula_sum 'Zr1 Si2 Sb1'
_symmetry_space_group_name_H-M 'P 4 m m'
_symmetry_Int_Tables_number 99
_cell_length_a 3.112
_cell_length_b 3.112
_cell_length_c 8.112
_cell_angle_alpha 90.00
_cell_angle_beta 90.00
_cell_angle_gamma 90.00
loop_
_symmetry_equiv_pos_as_xyz
'x,y,z'
'-y,x,z'
'-x,-y,z'
'y,-x,z'
'-x,y,z'
'y,x,z'
'x,-y,z'
'-y,-x,z'
loop_
_atom_site_label
_atom_site_type_symbol
_atom_site_fract_x
_atom_site_fract_y
_atom_site_fract_z
Zr1 Zr 0.000 0.000 0.000
Si1 Si 0.000 0.000 0.625
Si2 Si 0.500 0.500 0.776
Sb1 Sb 0.500 0.500 0.282
```

Values from the calculation:
calculated total energy = -6.36 eV per atom
formation energy without anion corrections = -76 meV/atom

A plane-wave DFT calculation with PBEsol was carried out for a geometry-optimized Sm2Sb structure.

Cell and atoms, written as CIF:
```
data_Sm2Sb
_chemical_formula_sum 'Sm8 Sb4'
_symmetry_space_group_name_H-M 'I 4/m m m'
_symmetry_Int_Tables_number 139
_symmetry_space_group_name_Hall '-I 4 2'
_cell_length_a 4.434
_cell_length_b 4.434
_cell_length_c 17.273
_cell_angle_alpha 90.00
_cell_angle_beta 90.00
_cell_angle_gamma 90.00
loop_
_atom_site_label
_atom_site_type_symbol
_atom_site_fract_x
_atom_site_fract_y
_atom_site_fract_z
Sm1 Sm 0.000 0.000 0.179
Sm2 Sm 0.000 0.500 0.000
Sb1 Sb 0.000 0.000 0.361
```

Values from the calculation:
calculated total energy = -5.80 eV per atom
formation energy without anion corrections = -882 meV/atom

A plane-wave DFT calculation with PBEsol was carried out for a geometry-optimized Sm5Sb3 structure.

Cell and atoms, written as CIF:
```
data_Sm5Sb3
_chemical_formula_sum 'Sm10 Sb6'
_symmetry_space_group_name_H-M 'P 63/m c m'
_symmetry_Int_Tables_number 193
_symmetry_space_group_name_Hall '-P 6c 2'
_cell_length_a 9.0767
_cell_length_b 9.0767
_cell_length_c 6.3136
_cell_angle_alpha 90.00
_cell_angle_beta 90.00
_cell_angle_gamma 120.00
loop_
_atom_site_label
_atom_site_type_symbol
_atom_site_fract_x
_atom_site_fract_y
_atom_site_fract_z
Sm1 Sm 0.0000 0.2486 0.2500
Sm2 Sm 0.3333 0.6667 0.0000
Sb1 Sb 0.0000 0.3881 0.7500
```

Values from the calculation:
calculated total energy = -5.90 eV per atom
formation energy without anion corrections = -1011 meV/atom

A plane-wave DFT calculation with PBEsol was carried out for a geometry-optimized SmSbTe structure.

Cell and atoms, written as CIF:
```
data_SmSbTe
_chemical_formula_sum 'Sm2 Sb2 Te2'
_symmetry_space_group_name_H-M 'P 4/n m m'
_symmetry_Int_Tables_number 129
_cell_length_a 4.261
_cell_length_b 4.261
_cell_length_c 9.245
_cell_angle_alpha 90.00
_cell_angle_beta 90.00
_cell_angle_gamma 90.00
loop_
_symmetry_equiv_pos_as_xyz
'x,y,z'
'-x,-y,-z'
'-y+1/2,x,z'
'y+1/2,-x,-z'
'-x+1/2,-y+1/2,z'
'x+1/2,y+1/2,-z'
'y,-x+1/2,z'
'-y,x+1/2,-z'
'x+1/2,-y,-z'
'-x+1/2,y,z'
'-y,-x,-z'
'y,x,z'
'-x,y+1/2,-z'
'x,-y+1/2,z'
'y+1/2,x+1/2,-z'
'-y+1/2,-x+1/2,z'
loop_
_atom_site_label
_atom_site_type_symbol
_atom_site_fract_x
_atom_site_fract_y
_atom_site_fract_z
Sm1 Sm 0.250 0.250 0.226
Sb1 Sb 0.250 0.750 0.500
Te1 Te 0.250 0.250 0.876
```

Values from the calculation:
calculated total energy = -5.58 eV per atom
formation energy without anion corrections = -1193 meV/atom